(1)
VASP calculation (PBE) on a geometry-optimized TbPm2MgTl4 structure.

```
TbPm2MgTl4
1.0
5.324 0.000 0.000
2.662 4.611 0.000
2.662 1.537 9.023
Tb Pm Mg Tl
1 2 1 4
Direct
0.000 0.000 0.000
0.758 0.758 0.726
0.242 0.242 0.274
0.500 0.500 0.500
0.374 0.374 0.878
0.877 0.877 0.368
0.123 0.123 0.632
0.626 0.626 0.122
```

## Properties
Electronic total energy: -27.74 eV per cell
Space group: R-3m, No. 166
DFT formation energy: -318 meV/atom
Theoretical density: 9.68 g/cm³

(2)
VASP calculation (PBE) on a geometry-optimized Tb2PmTm4Mg structure.

```
Tb2PmTm4Mg
1.0
4.911 0.000 0.000
0.000 10.833 -2.775
0.000 3.193 3.741
Tb Pm Tm Mg
2 1 4 1
Direct
0.000 0.000 0.000
0.500 0.000 0.500
0.500 0.500 0.000
0.000 0.750 0.749
0.000 0.250 0.251
0.500 0.751 0.249
0.500 0.249 0.751
0.000 0.500 0.500
```

## Properties
Electronic total energy: -33.27 eV per cell
Space group: P4/mmm, No. 123
DFT formation energy: 28 meV/atom
Theoretical density: 7.96 g/cm³

(3)
VASP calculation (PBE) on a geometry-optimized Tb6Pm2Tm3Mg structure.

```
Tb6Pm2Tm3Mg
1.0
-5.389 -2.828 0.631
5.196 -3.223 0.222
0.564 3.620 11.110
Tb Pm Tm Mg
6 2 3 1
Direct
0.916 0.584 0.747
0.752 0.752 0.254
0.084 0.416 0.253
0.584 0.916 0.747
0.248 0.248 0.746
0.416 0.084 0.253
0.334 0.666 0.000
0.666 0.334 0.000
0.166 0.834 0.500
0.834 0.166 0.500
0.500 0.500 0.500
0.000 0.000 0.000
```

## Properties
Electronic total energy: -52.05 eV per cell
Space group: C2/m, No. 12
DFT formation energy: 20 meV/atom
Theoretical density: 7.90 g/cm³

(4)
VASP calculation (PBE) on a geometry-optimized Tb2Pm2TmMg2 structure.

```
Tb2Pm2TmMg2
1.0
-4.190 -3.433 0.788
-1.306 -1.606 5.067
-6.851 4.606 2.650
Tb Pm Tm Mg
2 2 1 2
Direct
0.574 0.574 0.277
0.426 0.426 0.723
0.155 0.155 0.534
0.845 0.845 0.466
0.000 0.000 0.000
0.710 0.710 0.871
0.290 0.290 0.129
```

## Properties
Electronic total energy: -26.46 eV per cell
Space group: R-3m, No. 166
DFT formation energy: -6 meV/atom
Theoretical density: 6.54 g/cm³

(5)
VASP calculation (PBE) on a geometry-optimized TbPmTm2Mg structure.

```
TbPmTm2Mg
1.0
-0.926 -3.752 -3.478
-3.443 -0.328 5.156
-6.382 6.283 -5.080
Tb Pm Tm Mg
2 2 4 2
Direct
0.272 0.543 0.276
0.728 0.457 0.724
0.654 0.308 0.055
0.346 0.692 0.945
0.417 0.835 0.628
0.583 0.165 0.372
0.033 0.066 0.836
0.967 0.934 0.164
0.872 0.743 0.450
0.128 0.257 0.550
```

## Properties
Electronic total energy: -39.75 eV per cell
Space group: C2/m, No. 12
DFT formation energy: 8 meV/atom
Theoretical density: 7.37 g/cm³

(6)
VASP calculation (PBE) on a geometry-optimized Tb2PmTm2Mg2 structure.

```
Tb2PmTm2Mg2
1.0
-5.209 -0.270 -1.576
-1.434 -3.262 -4.122
-3.468 -7.154 3.266
Tb Pm Tm Mg
2 1 2 2
Direct
0.572 0.572 0.284
0.428 0.428 0.716
0.000 0.000 0.000
0.155 0.155 0.534
0.845 0.845 0.466
0.711 0.711 0.866
0.289 0.289 0.134
```

## Properties
Electronic total energy: -26.37 eV per cell
Space group: R-3m, No. 166
DFT formation energy: -33 meV/atom
Theoretical density: 6.86 g/cm³